{
  "formula": "LiBi2H6Ir",
  "functional": "PBE",
  "state": "relaxed",
  "n_ef_per_ev_atom": 0.407,
  "spacegroup": "P-3m1, No. 164",
  "magmom_total_mub_per_cell": 0.00,
  "lattice": [[5.135, 0.000, 0.000], [0.000, 5.137, 0.000], [0.000, -2.569, 4.449]],
  "species": ["Li", "Bi", "Bi", "H", "H", "H", "H", "H", "H", "Ir"],
  "fractional_positions": [[0.500, 0.000, 0.000], [0.311, 0.333, 0.667], [0.689, 0.667, 0.333], [0.800, 0.153, 0.307], [0.800, 0.153, 0.847], [0.800, 0.693, 0.847], [0.200, 0.847, 0.153], [0.200, 0.307, 0.153], [0.200, 0.847, 0.693], [0.000, 0.000, 0.000]]
}

{
  "formula": "MgBiH6Ir2",
  "functional": "PBE",
  "state": "relaxed",
  "n_ef_per_ev_atom": 0.154,
  "spacegroup": "C2/c, No. 15",
  "magmom_total_mub_per_cell": 0.00,
  "lattice": [[-0.652, -3.129, 5.986], [-0.561, -6.038, -3.045], [4.900, 0.902, -0.241]],
  "species": ["Mg", "Mg", "Bi", "Bi", "H", "H", "H", "H", "H", "H", "H", "H", "H", "H", "H", "H", "Ir", "Ir", "Ir", "Ir"],
  "fractional_positions": [[0.109, 0.891, 0.250], [0.891, 0.109, 0.750], [0.624, 0.376, 0.250], [0.376, 0.624, 0.750], [0.933, 0.405, 0.050], [0.595, 0.067, 0.450], [0.067, 0.595, 0.950], [0.405, 0.933, 0.550], [0.203, 0.163, 0.124], [0.837, 0.797, 0.376], [0.797, 0.837, 0.876], [0.163, 0.203, 0.624], [0.206, 0.456, 0.291], [0.544, 0.794, 0.209], [0.794, 0.544, 0.709], [0.456, 0.206, 0.791], [0.301, 0.034, 0.808], [0.966, 0.699, 0.692], [0.699, 0.966, 0.192], [0.034, 0.301, 0.308]]
}

Result set for VASP energy: -3.77; -4.33 eV per atom, one per record in the order listed.